# POs2Rh

Crystalline POs2Rh at its relaxed geometry (PBE-GGA, the Alexandria database).

Output
Space-group type = P4mm, No. 99
Total DFT energy (no corrections) = -8.74 eV per atom
Calculated volume = 54.9 Å³ per cell
DOS(E_F) = 3.93 states/eV/f.u.
ΔH_f (0 K) = 0.06 eV/atom

Cell: 2.837 2.837 6.818 Å, 90.00 90.00 90.00°
Fractional positions:
1 Os 0.000 0.000 0.014
2 Os 0.500 0.500 0.272
3 Rh 0.500 0.500 0.708
4 P 0.000 0.000 0.506

# P2OsRh

Crystalline P2OsRh at its relaxed geometry (PBE-GGA, the Alexandria database).

Output
Space-group type = Imm2, No. 44
Total DFT energy (no corrections) = -7.30 eV per atom
Calculated volume = 56.2 Å³ per cell
DOS(E_F) = 2.38 states/eV/f.u.
ΔH_f (0 K) = 0.05 eV/atom

Cell: 5.303 5.303 5.303 Å, 147.63 134.86 56.64°
Fractional positions:
1 P 0.741 0.241 0.500
2 P 0.020 0.020 0.000
3 Os 0.224 0.724 0.500
4 Rh 0.515 0.515 0.000